# 1
4
Lattice="8.0742 0.0009 0.0006 6.9954 4.0320 0.0006 6.9954 1.8721 3.5710" Properties=species:S:1:pos:R:3 comment="RbSmS2 (PBE, optimized geometry)" mass_density_g_cm3=4.286 formation_energy_uncorrected_kj_per_mol_fu=-709.1 final_energy_ev_per_cell=-21.3 sg=R-3m pbc="T T T"
S 16.9510 4.5364 2.7442
S 5.1139 1.3686 0.8279
Rb 0.0000 0.0000 0.0000
Sm 11.0324 2.9525 1.7861



# 2
12
Lattice="6.1948 -0.3695 0.0000 -2.0462 8.3946 0.0000 -2.0743 -4.0125 6.7303" Properties=species:S:1:pos:R:3 comment="Y4BiRu (PBE, optimized geometry)" mass_density_g_cm3=6.410 final_energy_ev_per_cell=-83.9 delta_e_f_ev_per_atom=-0.4907 sg=C2/c pbc="T T T"
Y -1.8776 -1.7360 5.7705
Y 2.0420 3.1125 4.4708
Y -1.2198 1.9208 5.7705
Y -0.9908 5.0973 4.4708
Y 3.0651 -1.0848 2.2595
Y 3.2941 2.0918 0.9598
Y 0.0323 0.9000 2.2595
Y 3.9519 5.7485 0.9598
Bi 0.5256 4.1049 1.7146
Bi 1.5487 -0.0924 5.0156
Ru -2.5718 4.2897 6.7298
Ru 4.6461 -0.2771 0.0005



# 3
8
Lattice="9.0414 0.0001 0.0091 0.0000 5.7242 0.0001 1.7716 0.0003 3.5966" Properties=species:S:1:pos:R:3 comment="ZnHgS2 (PBE, optimized geometry)" mass_density_g_cm3=5.893 formation_energy_uncorrected_kj_per_mol_fu=-174.3 final_energy_ev_per_cell=-23.3 sg=P2_1 pbc="T T T"
S 9.7197 4.1464 2.1132
S 4.5603 3.8484 0.1787
S 3.5901 1.2843 2.8879
S 6.9770 0.9864 1.2239
Zn 7.9410 5.4052 2.9837
Zn 5.3683 2.5430 2.0156
Hg 8.8375 2.5214 0.3172
Hg 2.7012 5.3834 1.0883



# 4
5
Lattice="-0.8593 -1.1185 -3.5875 -2.9616 -2.0636 1.3528 -3.2287 4.2683 -0.5574" Properties=species:S:1:pos:R:3 comment="ReSiSeN2 (PBE, optimized geometry)" mass_density_g_cm3=6.672 formation_energy_uncorrected_kj_per_mol_fu=305.5 final_energy_ev_per_cell=-34.8 sg=P4/mmm pbc="T T T"
Re 0.0000 0.0000 0.0000
Si -3.5248 0.5430 -1.3961
Se -1.6143 2.1341 -0.2787
N -1.4808 -1.0318 0.6764
N -0.4297 -0.5593 -1.7938



# 5
15
Lattice="4.1011 -1.1014 -4.9467 1.0461 1.3671 6.2880 -2.6042 -5.9466 0.5984" Properties=species:S:1:pos:R:3 comment="Pu4TaO10 (PBE, optimized geometry)" mass_density_g_cm3=11.596 formation_energy_uncorrected_kj_per_mol_fu=-4340.8 final_energy_ev_per_cell=-163.8 sg=I4/m pbc="T T T"
Pu 1.9587 -0.5308 3.1619
Pu 2.8650 -2.4298 0.0599
Pu -0.3221 -3.2511 1.8798
Pu 0.5843 -5.1501 -1.2222
Ta 0.0000 0.0000 0.0000
O 2.0353 -3.4576 -1.8388
O -1.2494 -4.3476 0.0500
O 0.9037 -4.8720 3.1024
O 4.3681 -0.6681 -0.4515
O 1.0634 -1.4741 1.1787
O 3.7923 -1.3332 1.8898
O 0.5077 -2.2233 3.7785
O 1.4795 -4.2068 0.7611
O -1.8251 -5.0128 2.3913
O 1.6392 -0.8089 -1.1626